The following is a PBE-GGA calculation of a geometry-optimized Cs3HoGa2S6 structure, from Alexandria.

Raw formation energy = -1170.1 meV per atom
Final energy = -4.33 eV/atom
Symmetry = P-3m1 (164)
N(E_F) = 0.0 states/eV/cell
Total magnetic moment = 0.00 Bohr magnetons per cell

a b c (Å): 7.418 7.418 9.274
angles (deg): 90.00 90.00 120.00
Fractional positions:
Cs: 0.333 0.667 0.713
Cs: 0.667 0.333 0.287
Cs: 0.000 0.000 0.000
Ho: 0.000 0.000 0.500
Ga: 0.667 0.333 0.680
Ga: 0.333 0.667 0.320
S: 0.675 0.837 0.307
S: 0.163 0.325 0.307
S: 0.163 0.837 0.307
S: 0.837 0.675 0.693
S: 0.325 0.163 0.693
S: 0.837 0.163 0.693